1 | # CaVSe3, optimized geometry, DFT PBE
data_CaVSe3
_chemical_formula_sum 'Ca1 V1 Se3'
_symmetry_space_group_name_H-M 'P m -3 m'
_symmetry_Int_Tables_number 221
_symmetry_space_group_name_Hall '-P 4 2 3'
_cell_length_a 4.9152
_cell_length_b 4.9152
_cell_length_c 4.9152
_cell_angle_alpha 90.00
_cell_angle_beta 90.00
_cell_angle_gamma 90.00
loop_
_atom_site_label
_atom_site_fract_x
_atom_site_fract_y
_atom_site_fract_z
Ca1 0.0000 0.0000 0.0000
V1 0.5000 0.5000 0.5000
Se1 0.0000 0.5000 0.5000
# Calculated volume: 23.75 A^3/atom
# Spin magnetization: 1.00 μB/cell


2 | # CaVSe3, optimized geometry, DFT PBE
data_CaVSe3
_chemical_formula_sum 'Ca1 V1 Se3'
_symmetry_space_group_name_H-M 'P m -3 m'
_symmetry_Int_Tables_number 221
_symmetry_space_group_name_Hall '-P 4 2 3'
_cell_length_a 5.3669
_cell_length_b 5.3669
_cell_length_c 5.3669
_cell_angle_alpha 90.00
_cell_angle_beta 90.00
_cell_angle_gamma 90.00
loop_
_atom_site_label
_atom_site_fract_x
_atom_site_fract_y
_atom_site_fract_z
Ca1 0.0000 0.0000 0.0000
V1 0.5000 0.5000 0.5000
Se1 0.0000 0.0000 0.5000
# Calculated volume: 30.92 A^3/atom
# Spin magnetization: 1.73 μB/cell


Here are the energies relative to the best structure, in meV per atom: 1 0; 2 1135.